Record 1
Density functional theory data (PBE) for an optimized crystal structure of CePmDy.

## Properties
For the calculated formation energy, the calculation gives 0.2 eV per formula unit.

Geometry as CIF:
```
data_CePmDy
_cell_length_a 3.5477
_cell_length_b 3.5477
_cell_length_c 7.9010
_cell_angle_alpha 102.97
_cell_angle_beta 102.97
_cell_angle_gamma 90.00
_space_group_name_H-M_alt 'P 1'
_space_group_IT_number 1
_space_group_name_Hall 'P 1'
loop_
_atom_site_label
_atom_site_type_symbol
_atom_site_fract_x
_atom_site_fract_y
_atom_site_fract_z
Pm1 Pm 0.0055 0.0055 0.0109
Ce1 Ce 0.6680 0.6680 0.3360
Dy1 Dy 0.3265 0.3265 0.6530
```

Record 2
Density functional theory data (PBE) for an optimized crystal structure of CePm5Dy6.

## Properties
For the calculated formation energy, the calculation gives 0.4 eV per formula unit.

Geometry as CIF:
```
data_CePm5Dy6
_cell_length_a 5.0897
_cell_length_b 10.0827
_cell_length_c 9.4915
_cell_angle_alpha 122.08
_cell_angle_beta 105.54
_cell_angle_gamma 90.00
_space_group_name_H-M_alt 'P 1'
_space_group_IT_number 1
_space_group_name_Hall 'P 1'
loop_
_atom_site_label
_atom_site_type_symbol
_atom_site_fract_x
_atom_site_fract_y
_atom_site_fract_z
Pm1 Pm 0.6663 0.6664 0.3328
Pm2 Pm 0.3344 0.8345 0.6690
Pm3 Pm 0.3337 0.3336 0.6672
Pm4 Pm 0.6656 0.1655 0.3310
Pm5 Pm 0.0000 0.5000 0.0000
Ce1 Ce 0.0000 0.0000 0.0000
Dy1 Dy 0.5000 0.7533 0.0000
Dy2 Dy 0.1654 0.4137 0.3309
Dy3 Dy 0.8346 0.5863 0.6691
Dy4 Dy 0.8345 0.0828 0.6691
Dy5 Dy 0.5000 0.2467 0.0000
Dy6 Dy 0.1655 0.9172 0.3309
```

Record 3
Density functional theory data (PBE) for an optimized crystal structure of CePm8Dy6.

## Properties
For the calculated formation energy, the calculation gives 1.9 eV per formula unit.

Geometry as CIF:
```
data_CePm8Dy6
_cell_length_a 8.7137
_cell_length_b 8.7137
_cell_length_c 8.7137
_cell_angle_alpha 63.01
_cell_angle_beta 63.01
_cell_angle_gamma 63.01
_space_group_name_H-M_alt 'P 1'
_space_group_IT_number 1
_space_group_name_Hall 'P 1'
loop_
_atom_site_label
_atom_site_type_symbol
_atom_site_fract_x
_atom_site_fract_y
_atom_site_fract_z
Pm1 Pm 0.2846 0.8855 0.2436
Pm2 Pm 0.1145 0.7564 0.7154
Pm3 Pm 0.7564 0.7154 0.1145
Pm4 Pm 0.8855 0.2436 0.2846
Pm5 Pm 0.7154 0.1145 0.7564
Pm6 Pm 0.5778 0.5778 0.5778
Pm7 Pm 0.2436 0.2846 0.8855
Pm8 Pm 0.4222 0.4222 0.4222
Dy1 Dy 0.2438 0.5381 0.0977
Dy2 Dy 0.4619 0.9023 0.7562
Dy3 Dy 0.0977 0.2438 0.5381
Dy4 Dy 0.5381 0.0977 0.2438
Dy5 Dy 0.7562 0.4619 0.9023
Dy6 Dy 0.9023 0.7562 0.4619
Ce1 Ce 0.0000 0.0000 0.0000
```

Record 4
Density functional theory data (PBE) for an optimized crystal structure of CePmDy.

## Properties
For the calculated formation energy, the calculation gives 0.2 eV per formula unit.

Geometry as CIF:
```
data_CePmDy
_cell_length_a 3.5401
_cell_length_b 3.5401
_cell_length_c 8.7159
_cell_angle_alpha 90.00
_cell_angle_beta 90.00
_cell_angle_gamma 120.00
_space_group_name_H-M_alt 'P 1'
_space_group_IT_number 1
_space_group_name_Hall 'P 1'
loop_
_atom_site_label
_atom_site_type_symbol
_atom_site_fract_x
_atom_site_fract_y
_atom_site_fract_z
Ce1 Ce 0.6667 0.3333 0.3356
Dy1 Dy 0.3333 0.6667 0.6592
Pm1 Pm 0.0000 0.0000 0.0052
```

Record 5
Density functional theory data (PBE) for an optimized crystal structure of CePm12Dy5.

## Properties
For the calculated formation energy, the calculation gives 1.7 eV per formula unit.

Geometry as CIF:
```
data_CePm12Dy5
_cell_length_a 12.1651
_cell_length_b 10.4223
_cell_length_c 5.8416
_cell_angle_alpha 90.25
_cell_angle_beta 90.42
_cell_angle_gamma 54.30
_space_group_name_H-M_alt 'P 1'
_space_group_IT_number 1
_space_group_name_Hall 'P 1'
loop_
_atom_site_label
_atom_site_type_symbol
_atom_site_fract_x
_atom_site_fract_y
_atom_site_fract_z
Dy1 Dy 0.8638 0.2724 0.5000
Dy2 Dy 0.1362 0.7276 0.5000
Dy3 Dy 0.3619 0.2762 0.0000
Dy4 Dy 0.6381 0.7238 0.0000
Dy5 Dy 0.5000 0.0000 0.5000
Pm1 Pm 0.8296 0.6410 0.4956
Pm2 Pm 0.7992 0.0000 0.5655
Pm3 Pm 0.2008 0.0000 0.4345
Pm4 Pm 0.3262 0.6467 0.0070
Pm5 Pm 0.0272 0.6467 0.9930
Pm6 Pm 0.3029 0.0000 0.9385
Pm7 Pm 0.6971 0.0000 0.0615
Pm8 Pm 0.5293 0.6410 0.5044
Pm9 Pm 0.4707 0.3590 0.4956
Pm10 Pm 0.6738 0.3533 0.9930
Pm11 Pm 0.1704 0.3590 0.5044
Pm12 Pm 0.9729 0.3533 0.0070
Ce1 Ce 0.0000 0.0000 0.0000
```

Record 6
Density functional theory data (PBE) for an optimized crystal structure of CePmDy14.

## Properties
For the calculated formation energy, the calculation gives 0.5 eV per formula unit.

Geometry as CIF:
```
data_CePmDy14
_cell_length_a 7.0989
_cell_length_b 7.0989
_cell_length_c 10.0370
_cell_angle_alpha 90.00
_cell_angle_beta 90.00
_cell_angle_gamma 89.99
_space_group_name_H-M_alt 'P 1'
_space_group_IT_number 1
_space_group_name_Hall 'P 1'
loop_
_atom_site_label
_atom_site_type_symbol
_atom_site_fract_x
_atom_site_fract_y
_atom_site_fract_z
Dy1 Dy 0.8749 0.6249 0.0000
Dy2 Dy 0.8750 0.6250 0.5000
Dy3 Dy 0.6265 0.3735 0.7491
Dy4 Dy 0.3750 0.1250 0.5000
Dy5 Dy 0.1235 0.3735 0.7492
Dy6 Dy 0.6265 0.3735 0.2509
Dy7 Dy 0.3750 0.6250 0.5000
Dy8 Dy 0.1235 0.8765 0.7492
Dy9 Dy 0.3751 0.1251 0.0000
Dy10 Dy 0.6265 0.8765 0.7492
Dy11 Dy 0.8750 0.1250 0.5000
Dy12 Dy 0.6265 0.8765 0.2508
Dy13 Dy 0.1235 0.3735 0.2508
Dy14 Dy 0.1235 0.8765 0.2508
Pm1 Pm 0.3749 0.6251 0.0000
Ce1 Ce 0.8751 0.1249 0.0000
```

Record 7
Density functional theory data (PBE) for an optimized crystal structure of CePmDy4.

## Properties
For the calculated formation energy, the calculation gives 0.2 eV per formula unit.

Geometry as CIF:
```
data_CePmDy4
_cell_length_a 3.5786
_cell_length_b 6.2165
_cell_length_c 17.2427
_cell_angle_alpha 96.85
_cell_angle_beta 90.00
_cell_angle_gamma 90.00
_space_group_name_H-M_alt 'P 1'
_space_group_IT_number 1
_space_group_name_Hall 'P 1'
loop_
_atom_site_label
_atom_site_type_symbol
_atom_site_fract_x
_atom_site_fract_y
_atom_site_fract_z
Dy1 Dy 0.5001 0.6139 0.3324
Dy2 Dy 0.9999 0.6139 0.8324
Dy3 Dy 0.0001 0.1094 0.3340
Dy4 Dy 0.4999 0.1094 0.8340
Dy5 Dy 0.5001 0.8906 0.1660
Dy6 Dy 0.4999 0.3861 0.6676
Dy7 Dy 0.0001 0.3861 0.1676
Dy8 Dy 0.9999 0.8906 0.6660
Ce1 Ce 0.5000 0.0000 0.5000
Ce2 Ce 0.0000 0.0000 0.0000
Pm1 Pm 0.5000 0.5000 0.0000
Pm2 Pm 0.0000 0.5000 0.5000
```

Record 8
Density functional theory data (PBE) for an optimized crystal structure of CePm2Dy3.

## Properties
For the calculated formation energy, the calculation gives 0.3 eV per formula unit.

Geometry as CIF:
```
data_CePm2Dy3
_cell_length_a 5.0572
_cell_length_b 9.4601
_cell_length_c 9.4601
_cell_angle_alpha 107.00
_cell_angle_beta 105.51
_cell_angle_gamma 105.51
_space_group_name_H-M_alt 'P 1'
_space_group_IT_number 1
_space_group_name_Hall 'P 1'
loop_
_atom_site_label
_atom_site_type_symbol
_atom_site_fract_x
_atom_site_fract_y
_atom_site_fract_z
Pm1 Pm 0.7500 0.9172 0.0828
Pm2 Pm 0.2500 0.7487 0.2513
Pm3 Pm 0.2500 0.0828 0.9172
Pm4 Pm 0.7500 0.2513 0.7487
Dy1 Dy 0.5000 0.5000 0.0000
Dy2 Dy 0.4946 0.8269 0.6623
Dy3 Dy 0.5054 0.1731 0.3377
Dy4 Dy 0.0054 0.3377 0.1731
Dy5 Dy 0.9946 0.6623 0.8269
Dy6 Dy 0.0000 0.0000 0.5000
Ce1 Ce 0.2500 0.4190 0.5810
Ce2 Ce 0.7500 0.5810 0.4190
```

Record 9
Density functional theory data (PBE) for an optimized crystal structure of CePmDy.

## Properties
For the calculated formation energy, the calculation gives 0.2 eV per formula unit.

Geometry as CIF:
```
data_CePmDy
_cell_length_a 6.1772
_cell_length_b 3.5746
_cell_length_c 15.1558
_cell_angle_alpha 110.69
_cell_angle_beta 41.73
_cell_angle_gamma 90.00
_space_group_name_H-M_alt 'P 1'
_space_group_IT_number 1
_space_group_name_Hall 'P 1'
loop_
_atom_site_label
_atom_site_type_symbol
_atom_site_fract_x
_atom_site_fract_y
_atom_site_fract_z
Ce1 Ce 0.7608 0.7779 0.5770
Ce2 Ce 0.2752 0.2736 0.5739
Dy1 Dy 0.9995 0.7679 0.9037
Dy2 Dy 0.0366 0.2836 0.2471
Pm1 Pm 0.5076 0.2611 0.8997
Pm2 Pm 0.5286 0.7904 0.2511
```

Record 10
Density functional theory data (PBE) for an optimized crystal structure of CePm3Dy6.

## Properties
For the calculated formation energy, the calculation gives 3.1 eV per formula unit.

Geometry as CIF:
```
data_CePm3Dy6
_cell_length_a 8.6622
_cell_length_b 8.9114
_cell_length_c 6.2712
_cell_angle_alpha 97.57
_cell_angle_beta 133.68
_cell_angle_gamma 90.00
_space_group_name_H-M_alt 'P 1'
_space_group_IT_number 1
_space_group_name_Hall 'P 1'
loop_
_atom_site_label
_atom_site_type_symbol
_atom_site_fract_x
_atom_site_fract_y
_atom_site_fract_z
Dy1 Dy 0.0608 0.6453 0.7593
Dy2 Dy 0.6985 0.6453 0.7593
Dy3 Dy 0.6183 0.8701 0.2367
Dy4 Dy 0.9392 0.3547 0.2407
Dy5 Dy 0.3817 0.1299 0.7633
Dy6 Dy 0.3015 0.3547 0.2407
Ce1 Ce 0.5000 0.5000 0.0000
Pm1 Pm 0.2200 0.7310 0.4400
Pm2 Pm 0.0000 0.0000 0.0000
Pm3 Pm 0.7800 0.2690 0.5600
```